(1)
Crystalline Li2CdFe at its relaxed geometry. Source: Alexandria via LeMat-Bulk, functional PBE.

a = 5.039 Å, b = 5.039 Å, c = 5.039 Å
α = 134.41°, β = 134.41°, γ = 66.45°
Element x y z (fractional)
Li 0.250 0.750 0.500
Li 0.750 0.250 0.500
Cd 0.000 0.000 0.000
Fe 0.500 0.500 0.000



(2)
Crystalline Ac2Tb3Cd4 at its relaxed geometry. Source: Alexandria via LeMat-Bulk, functional PBE.

a = 10.017 Å, b = 10.017 Å, c = 8.553 Å
α = 90.00°, β = 90.00°, γ = 138.96°
Element x y z (fractional)
Ac 0.096 0.904 0.901
Ac 0.404 0.596 0.401
Ac 0.596 0.404 0.599
Ac 0.904 0.096 0.099
Tb 0.000 0.000 0.500
Tb 0.007 0.493 0.750
Tb 0.493 0.007 0.250
Tb 0.500 0.500 0.000
Tb 0.507 0.993 0.750
Tb 0.993 0.507 0.250
Cd 0.166 0.834 0.512
Cd 0.177 0.323 0.750
Cd 0.323 0.177 0.250
Cd 0.334 0.666 0.012
Cd 0.666 0.334 0.988
Cd 0.677 0.823 0.750
Cd 0.823 0.677 0.250
Cd 0.834 0.166 0.488



(3)
Crystalline ScSiOF2 at its relaxed geometry. Source: Alexandria via LeMat-Bulk, functional PBE.

a = 4.478 Å, b = 4.478 Å, c = 3.440 Å
α = 90.00°, β = 90.00°, γ = 90.00°
Element x y z (fractional)
Sc 0.000 0.000 0.000
Si 0.500 0.500 0.500
O 0.500 0.500 0.000
F 0.000 0.500 0.500
F 0.500 0.000 0.500

Values from the calculation:
formation energy from raw total energies	-1.56	eV per atom
E above lowest polymorph	562	meV per atom



(4)
Crystalline LiPm3Sn2 at its relaxed geometry. Source: Alexandria via LeMat-Bulk, functional PBE.

a = 9.595 Å, b = 9.595 Å, c = 9.595 Å
α = 140.49°, β = 56.74°, γ = 140.97°
Element x y z (fractional)
Li 0.250 0.250 0.000
Li 0.750 0.750 0.000
Pm 0.179 0.247 0.426
Pm 0.250 0.750 0.500
Pm 0.321 0.747 0.068
Pm 0.679 0.253 0.932
Pm 0.750 0.250 0.500
Pm 0.821 0.753 0.574
Sn 0.131 0.760 0.891
Sn 0.369 0.260 0.630
Sn 0.631 0.740 0.370
Sn 0.869 0.240 0.109



(5)
Crystalline Pm2SnHg at its relaxed geometry. Source: Alexandria via LeMat-Bulk, functional PBE.

a = 5.413 Å, b = 5.413 Å, c = 5.413 Å
α = 60.00°, β = 60.00°, γ = 60.00°
Element x y z (fractional)
Pm 0.250 0.250 0.250
Pm 0.750 0.750 0.750
Sn 0.000 0.000 0.000
Hg 0.500 0.500 0.500

Values from the calculation:
E above lowest polymorph	0	meV per atom



(6)
Crystalline Sm3Dy4Cd2 at its relaxed geometry. Source: Alexandria via LeMat-Bulk, functional PBE.

a = 7.788 Å, b = 7.788 Å, c = 7.803 Å
α = 107.60°, β = 107.60°, γ = 36.75°
Element x y z (fractional)
Sm 0.000 0.000 0.000
Sm 0.114 0.114 0.670
Sm 0.886 0.886 0.330
Dy 0.222 0.222 0.319
Dy 0.443 0.443 0.667
Dy 0.557 0.557 0.333
Dy 0.778 0.778 0.681
Cd 0.334 0.334 0.000
Cd 0.666 0.666 0.000



no.,DOS at the Fermi energy (states/eV/cell),calculated total energy (eV/atom)
1,3.9,-3.083
2,17.4,-3.039
3,3.1,-5.651
4,8.7,-4.561
5,3.9,-4.054
6,11.1,-3.895